(1)
# NbVCo

A PBEsol-optimized structure of NbVCo (meta-GGA SCAN, Alexandria via LeMat-Bulk).

The value obtained for the magnetization is 0.00 μB/f.u. The calculation puts the density of states at the Fermi level at 1.160 states/eV/atom. For the total energy, the calculation gives -22.75 eV per atom. Its volume is 40.4 Å³/f.u. As for the formation energy: -0.104 eV per atom.

Cell and atoms, written as extended XYZ:
```
12
Lattice="-3.977 -2.440 1.118 4.208 -2.305 0.002 1.021 1.870 7.715" Properties=species:S:1:pos:R:3 pbc="T T T"
Nb 1.838 -1.758 2.812
Nb -0.987 -2.026 2.257
Nb -0.369 -0.893 6.933
Nb 2.213 -1.072 5.642
V -2.184 -1.484 4.800
V 0.900 -3.544 0.740
V 0.785 -1.178 0.182
V 2.840 -2.328 0.189
Co -3.712 -1.961 3.095
Co -3.214 -1.050 6.855
Co -0.214 -0.283 4.249
Co -0.100 -2.618 4.799
```

***

(2)
# OsPdO3

A PBEsol-optimized structure of OsPdO3 (meta-GGA SCAN, Alexandria via LeMat-Bulk).

The value obtained for the magnetization is 0.01 μB/f.u. The calculation puts the density of states at the Fermi level at 0.891 states/eV/atom. The uncorrected formation energy comes out at -312 meV/atom. For the total energy, the calculation gives -24.98 eV per atom. Its volume is 56.3 Å³/f.u.

Cell and atoms, written as extended XYZ:
```
5
Lattice="3.834 0.000 0.000 0.000 3.834 0.000 0.000 0.000 3.834" Properties=species:S:1:pos:R:3 pbc="T T T"
Os 0.000 0.000 0.000
O 0.000 1.917 0.000
O 0.000 0.000 1.917
O 1.917 0.000 0.000
Pd 1.917 1.917 1.917
```

***

(3)
# GeHSe2N

A PBEsol-optimized structure of GeHSe2N (meta-GGA SCAN, Alexandria via LeMat-Bulk).

The value obtained for the magnetization is 0.81 μB/f.u. The calculation puts the density of states at the Fermi level at 0.451 states/eV/atom. For the total energy, the calculation gives -13.34 eV per atom. Its volume is 69.3 Å³/f.u.

Cell and atoms, written as extended XYZ:
```
5
Lattice="2.717 0.000 0.000 0.000 5.050 0.000 0.000 0.000 5.050" Properties=species:S:1:pos:R:3 pbc="T T T"
H 0.000 0.000 0.000
Ge 1.358 2.525 2.525
Se 0.000 0.000 2.525
Se 0.000 2.525 0.000
N 1.358 0.000 0.000
```